Crystalline PIr2Au at its relaxed geometry. Source: Alexandria via LeMat-Bulk, functional GGA-PBE.

**Energy relative to the elements**: 89 kJ/mol of formula units
**Mass density**: 15.9 g/cm3

abc: 2.7969 3.7386 6.1333
angles: 90.00 90.00 90.00
Sites, in units of the cell vectors:
1 P 0.0000 0.0000 0.0000
2 Ir 0.0000 0.0000 0.6196
3 Ir 0.5000 0.5000 0.8771
4 Au 0.5000 0.5000 0.3551


Crystalline PIr2Au at its relaxed geometry. Source: Alexandria via LeMat-Bulk, functional GGA-PBE.

**Energy relative to the elements**: 68 kJ/mol of formula units
**Mass density**: 16.7 g/cm3

abc: 5.2555 5.2555 5.2555
angles: 148.05 126.57 63.62
Sites, in units of the cell vectors:
1 P 0.0000 0.0000 0.0000
2 Ir 0.2040 0.7040 0.5000
3 Ir 0.7960 0.2960 0.5000
4 Au 0.5000 0.5000 0.0000


Crystalline PIr2Au at its relaxed geometry. Source: Alexandria via LeMat-Bulk, functional GGA-PBE.

**Energy relative to the elements**: 91 kJ/mol of formula units
**Mass density**: 16.3 g/cm3

abc: 2.8794 2.8794 8.6998
angles: 90.00 90.00 120.38
Sites, in units of the cell vectors:
1 P 0.0000 0.0000 0.0000
2 Ir 0.5000 0.5000 0.2104
3 Ir 0.5000 0.5000 0.7896
4 Au 0.0000 0.0000 0.5000


Crystalline PIr2Au at its relaxed geometry. Source: Alexandria via LeMat-Bulk, functional GGA-PBE.

**Energy relative to the elements**: 192 kJ/mol of formula units
**Mass density**: 16.8 g/cm3

abc: 4.1460 4.1460 3.5201
angles: 90.00 90.00 90.00
Sites, in units of the cell vectors:
1 P 0.0000 0.0000 0.0000
2 Ir 0.0000 0.5000 0.5000
3 Ir 0.5000 0.0000 0.5000
4 Au 0.5000 0.5000 0.0000


Crystalline PIr3Au at its relaxed geometry. Source: Alexandria via LeMat-Bulk, functional GGA-PBE.

**Polymorph energy (0 for the lowest one)**: 1.9974 eV per atom
**Energy relative to the elements**: 1248 kJ/mol of formula units
**Mass density**: 11.6 g/cm3

abc: 4.8626 4.8626 4.8626
angles: 90.00 90.00 90.00
Sites, in units of the cell vectors:
1 P 0.0000 0.0000 0.0000
2 Ir 0.0000 0.5000 0.5000
3 Ir 0.5000 0.0000 0.5000
4 Ir 0.5000 0.5000 0.0000
5 Au 0.5000 0.5000 0.5000


Crystalline PIr2Au at its relaxed geometry. Source: Alexandria via LeMat-Bulk, functional GGA-PBE.

**Energy relative to the elements**: 182 kJ/mol of formula units
**Mass density**: 16.4 g/cm3

abc: 5.3420 5.3420 2.8690
angles: 105.29 105.29 118.17
Sites, in units of the cell vectors:
1 P 0.0000 0.0000 0.0000
2 Ir 0.0000 0.5000 0.0000
3 Ir 0.5000 0.0000 0.0000
4 Au 0.5000 0.5000 0.0000


Crystalline PIr2Au at its relaxed geometry. Source: Alexandria via LeMat-Bulk, functional GGA-PBE.

**Energy relative to the elements**: 85 kJ/mol of formula units
**Mass density**: 15.7 g/cm3

abc: 2.8110 2.8110 8.2112
angles: 90.00 90.00 90.00
Sites, in units of the cell vectors:
1 P 0.0000 0.0000 0.0000
2 Ir 0.0000 0.0000 0.5830
3 Ir 0.5000 0.5000 0.8234
4 Au 0.5000 0.5000 0.3294


Crystalline PIr2Au at its relaxed geometry. Source: Alexandria via LeMat-Bulk, functional GGA-PBE.

**Energy relative to the elements**: 222 kJ/mol of formula units
**Mass density**: 16.4 g/cm3

abc: 4.4426 4.4426 4.4426
angles: 60.00 60.00 60.00
Sites, in units of the cell vectors:
1 P 0.0000 0.0000 0.0000
2 Ir 0.2500 0.2500 0.2500
3 Ir 0.5000 0.5000 0.5000
4 Au 0.7500 0.7500 0.7500